Entry 1:
The following is a DFT calculation (PBE) of an optimized crystal structure of NdSm4Tm5.

Summary:
- DFT formation energy (meV/atom) = 199
- distance to the lowest polymorph of the same formula (meV/atom) = 0.0
- total magnetization (μB/atom) = 0.00

Unit cell a=8.721 b=8.721 c=11.143 alpha=90.24 beta=90.24 gamma=23.30
Fractional positions:
1 Nd 0.000 0.000 0.000
2 Sm 0.156 0.156 0.250
3 Sm 0.469 0.469 0.253
4 Sm 0.531 0.531 0.747
5 Sm 0.844 0.844 0.750
6 Tm 0.000 0.000 0.500
7 Tm 0.325 0.325 0.052
8 Tm 0.327 0.327 0.454
9 Tm 0.673 0.673 0.546
10 Tm 0.675 0.675 0.948

***

Entry 2:
The following is a DFT calculation (PBE) of an optimized crystal structure of PaSbOs.

Summary:
- total magnetization (μB/atom) = 0.00
- formation energy from raw total energies (meV/atom) = -315

Unit cell a=4.631 b=4.631 c=3.419 alpha=90.00 beta=90.00 gamma=120.00
Fractional positions:
1 Pa 0.000 0.000 0.000
2 Sb 0.333 0.667 0.500
3 Os 0.667 0.333 0.500

***

Entry 3:
The following is a DFT calculation (PBE) of an optimized crystal structure of MgMn2C.

Summary:
- DFT formation energy (meV/atom) = 619
- total magnetization (μB/atom) = 1.18

Unit cell a=6.296 b=6.296 c=6.296 alpha=130.97 beta=130.97 gamma=71.85
Fractional positions:
1 Mg 0.375 0.625 0.750
2 Mg 0.625 0.375 0.250
3 Mn 0.000 0.000 0.000
4 Mn 0.000 0.000 0.500
5 Mn 0.000 0.500 0.000
6 Mn 0.500 0.000 0.500
7 C 0.125 0.875 0.250
8 C 0.875 0.125 0.750

***

Entry 4:
The following is a DFT calculation (PBE) of an optimized crystal structure of SrSb2Cl.

Summary:
- distance to the lowest polymorph of the same formula (meV/atom) = 841.5
- total magnetization (μB/atom) = 0.00
- formation energy from raw total energies (meV/atom) = -195

Unit cell a=5.546 b=5.546 c=5.546 alpha=60.00 beta=60.00 gamma=60.00
Fractional positions:
1 Sr 0.000 0.000 0.000
2 Sb 0.250 0.250 0.250
3 Sb 0.750 0.750 0.750
4 Cl 0.500 0.500 0.500

***

Entry 5:
The following is a DFT calculation (PBE) of an optimized crystal structure of In12Hg3Ge5.

Summary:
- DFT formation energy (meV/atom) = 138
- total magnetization (μB/atom) = 0.00

Unit cell a=14.396 b=14.396 c=14.396 alpha=109.47 beta=109.47 gamma=109.47
Fractional positions:
1 In 0.052 0.226 0.122
2 In 0.052 0.326 0.930
3 In 0.070 0.622 0.396
4 In 0.070 0.948 0.674
5 In 0.104 0.726 0.674
6 In 0.104 0.878 0.430
7 In 0.122 0.052 0.226
8 In 0.122 0.570 0.896
9 In 0.174 0.226 0.604
10 In 0.174 0.448 0.570
11 In 0.226 0.122 0.052
12 In 0.226 0.604 0.174
13 In 0.274 0.326 0.896
14 In 0.274 0.448 0.378
15 In 0.326 0.896 0.274
16 In 0.326 0.930 0.052
17 In 0.378 0.274 0.448
18 In 0.378 0.604 0.930
19 In 0.396 0.070 0.622
20 In 0.396 0.826 0.774
21 In 0.430 0.104 0.878
22 In 0.430 0.826 0.552
23 In 0.448 0.378 0.274
24 In 0.448 0.570 0.174
25 In 0.552 0.430 0.826
26 In 0.552 0.622 0.726
27 In 0.570 0.174 0.448
28 In 0.570 0.896 0.122
29 In 0.604 0.174 0.226
30 In 0.604 0.930 0.378
31 In 0.622 0.396 0.070
32 In 0.622 0.726 0.552
33 In 0.674 0.070 0.948
34 In 0.674 0.104 0.726
35 In 0.726 0.552 0.622
36 In 0.726 0.674 0.104
37 In 0.774 0.396 0.826
38 In 0.774 0.878 0.948
39 In 0.826 0.552 0.430
40 In 0.826 0.774 0.396
41 In 0.878 0.430 0.104
42 In 0.878 0.948 0.774
43 In 0.896 0.122 0.570
44 In 0.896 0.274 0.326
45 In 0.930 0.052 0.326
46 In 0.930 0.378 0.604
47 In 0.948 0.674 0.070
48 In 0.948 0.774 0.878
49 Hg 0.125 0.250 0.375
50 Hg 0.125 0.375 0.750
51 Hg 0.250 0.375 0.125
52 Hg 0.250 0.875 0.625
53 Hg 0.375 0.125 0.250
54 Hg 0.375 0.750 0.125
55 Hg 0.625 0.250 0.875
56 Hg 0.625 0.875 0.750
57 Hg 0.750 0.125 0.375
58 Hg 0.750 0.625 0.875
59 Hg 0.875 0.625 0.250
60 Hg 0.875 0.750 0.625
61 Ge 0.000 0.000 0.000
62 Ge 0.000 0.000 0.500
63 Ge 0.000 0.500 0.000
64 Ge 0.000 0.500 0.500
65 Ge 0.125 0.750 0.875
66 Ge 0.125 0.875 0.250
67 Ge 0.250 0.125 0.875
68 Ge 0.250 0.625 0.375
69 Ge 0.375 0.250 0.625
70 Ge 0.375 0.625 0.750
71 Ge 0.500 0.000 0.000
72 Ge 0.500 0.000 0.500
73 Ge 0.500 0.500 0.000
74 Ge 0.500 0.500 0.500
75 Ge 0.625 0.375 0.250
76 Ge 0.625 0.750 0.375
77 Ge 0.750 0.375 0.625
78 Ge 0.750 0.875 0.125
79 Ge 0.875 0.125 0.750
80 Ge 0.875 0.250 0.125

***

Entry 6:
The following is a DFT calculation (PBE) of an optimized crystal structure of Pr3YH8.

Summary:
- E (eV/atom) = -4.6265
- total magnetization (μB/atom) = 0.00

Unit cell a=5.449 b=5.449 c=5.449 alpha=90.00 beta=90.00 gamma=90.00
Fractional positions:
1 Pr 0.000 0.000 0.500
2 Pr 0.000 0.500 0.000
3 Pr 0.500 0.000 0.000
4 Y 0.500 0.500 0.500
5 H 0.259 0.259 0.259
6 H 0.259 0.259 0.741
7 H 0.259 0.741 0.259
8 H 0.259 0.741 0.741
9 H 0.741 0.259 0.259
10 H 0.741 0.259 0.741
11 H 0.741 0.741 0.259
12 H 0.741 0.741 0.741